No. 1
An optimized crystal structure of CsNb3SBr7. Source: Alexandria, functional PBE.

Cell and atoms, written as POSCAR:
```
CsNb3SBr7
1.0
10.5341 0.0000 0.0000
0.0000 19.6098 0.0000
-0.6767 0.0000 7.1249
Cs Nb S Br
4 12 4 28
Cartesian
1.0734 1.9187 1.8475 Cs
0.7351 7.8862 5.4100 Cs
9.1223 11.7236 1.7149 Cs
8.7840 17.6911 5.2774 Cs
1.3986 13.1397 5.5753 Nb
1.7370 16.2751 2.0129 Nb
4.4573 13.1849 0.1292 Nb
4.1190 16.2299 3.6917 Nb
4.0570 13.1857 4.3867 Nb
4.3954 16.2291 0.8242 Nb
5.4621 3.3808 6.3007 Nb
5.8004 6.4241 2.7382 Nb
5.7384 3.3800 3.4332 Nb
5.4001 6.4249 6.9957 Nb
8.1205 3.3348 5.1121 Nb
8.4588 6.4701 1.5496 Nb
3.2946 14.4655 2.1652 S
2.9563 14.9492 5.7276 S
6.9011 4.6606 1.3973 S
6.5628 5.1443 4.9598 S
-0.0336 1.9484 5.3440 Br
0.3047 7.8565 1.7816 Br
0.5679 14.7070 0.1039 Br
0.2296 14.7077 3.6664 Br
2.5645 11.3776 0.2982 Br
2.2261 18.0371 3.8607 Br
2.2389 11.3731 3.8606 Br
2.5772 18.0416 0.2982 Br
3.6172 4.9058 2.8948 Br
3.2789 4.8991 6.4573 Br
4.2228 1.6963 4.7337 Br
4.5612 8.1086 1.1712 Br
4.7921 1.9802 1.1967 Br
4.4537 7.8247 4.7592 Br
5.4037 11.7851 2.3657 Br
5.0654 17.6296 5.9282 Br
5.2962 11.5013 5.9537 Br
5.6346 17.9135 2.3913 Br
6.5785 14.7107 0.6676 Br
6.2402 14.7040 4.2301 Br
7.2802 1.5682 6.8268 Br
7.6185 8.2367 3.2643 Br
7.6313 1.5727 3.2642 Br
7.2929 8.2322 6.8267 Br
9.6278 4.9021 3.4585 Br
9.2895 4.9028 7.0210 Br
9.5527 11.7533 5.3434 Br
9.8911 17.6615 1.7809 Br
```

Properties
Space group   P2_1/c (14)
Crystal system   monoclinic
DFT total energy   -5.0384 eV per atom
Formation energy from raw total energies   -1.1301 eV/atom

No. 2
An optimized crystal structure of Cs5NbS4Br2. Source: Alexandria, functional PBE.

Cell and atoms, written as POSCAR:
```
Cs5NbS4Br2
1.0
10.5250 0.0000 0.0000
0.0000 6.0574 4.2062
0.0000 -6.0574 4.2062
Cs Nb S Br
5 1 4 2
Cartesian
0.0000 0.0000 0.0000 Cs
2.8716 -2.3286 3.9214 Cs
2.8716 2.3286 3.9214 Cs
7.6534 -2.3286 3.9214 Cs
7.6534 2.3286 3.9214 Cs
5.2625 0.0000 7.9708 Nb
3.3881 0.0000 0.9013 S
5.2625 -1.8377 6.5880 S
5.2625 1.8377 6.5880 S
7.1369 0.0000 0.9013 S
0.0000 -2.7708 6.0691 Br
0.0000 2.7708 6.0691 Br
```

Properties
Space group   Amm2 (38)
Crystal system   orthorhombic
DFT total energy   -4.2557 eV per atom
Formation energy from raw total energies   -1.4063 eV/atom

No. 3
An optimized crystal structure of Cs2NbSBr. Source: Alexandria, functional PBE.

Cell and atoms, written as POSCAR:
```
Cs2NbSBr
1.0
7.1413 0.0000 0.0000
0.0000 7.1413 0.0000
0.0000 0.0000 4.7295
Cs Nb S Br
2 1 1 1
Cartesian
0.0000 3.5707 0.0000 Cs
3.5707 0.0000 0.0000 Cs
0.0000 0.0000 0.0000 Nb
0.0000 0.0000 2.3648 S
3.5707 3.5707 2.3648 Br
```

Properties
Space group   P4/mmm (123)
Crystal system   tetragonal
DFT total energy   -3.9421 eV per atom
Formation energy from raw total energies   -0.4267 eV/atom